# Gd2ErAl3Cu2Pd

Crystalline Gd2ErAl3Cu2Pd at its relaxed geometry (PBE-GGA, OQMD via LeMat-Bulk).

- SG: No. 38
- E_tot: -4.765 eV/atom

Unit cell a=4.094 b=7.056 c=7.056 alpha=120.26 beta=90.00 gamma=90.00
Fractional positions:
1 Gd 0.000 0.209 0.791
2 Gd 0.000 0.791 0.209
3 Er 0.000 0.628 0.628
4 Al 0.500 0.212 0.449
5 Al 0.500 0.449 0.212
6 Al 0.500 0.972 0.972
7 Cu 0.500 0.545 0.873
8 Cu 0.500 0.873 0.545
9 Pd 0.000 0.214 0.214


# Er3Al3Cu2Ge

Crystalline Er3Al3Cu2Ge at its relaxed geometry (PBE-GGA, OQMD via LeMat-Bulk).

- SG: No. 189
- E_tot: -4.534 eV/atom

Unit cell a=7.204 b=7.204 c=3.895 alpha=90.00 beta=90.00 gamma=120.00
Fractional positions:
1 Er 0.000 0.398 0.000
2 Er 0.398 0.000 0.000
3 Er 0.602 0.602 0.000
4 Al 0.000 0.737 0.500
5 Al 0.263 0.263 0.500
6 Al 0.737 0.000 0.500
7 Cu 0.333 0.667 0.500
8 Cu 0.667 0.333 0.500
9 Ge 0.000 0.000 0.000


# Ho2ErAl3CuGe2

Crystalline Ho2ErAl3CuGe2 at its relaxed geometry (PBE-GGA, OQMD via LeMat-Bulk).

- SG: No. 38
- E_tot: -4.871 eV/atom

Unit cell a=4.151 b=6.982 c=6.982 alpha=119.99 beta=90.00 gamma=90.00
Fractional positions:
1 Ho 0.000 0.202 0.798
2 Ho 0.000 0.798 0.202
3 Er 0.000 0.604 0.604
4 Al 0.500 0.202 0.434
5 Al 0.500 0.434 0.202
6 Al 0.500 0.969 0.969
7 Cu 0.000 0.202 0.202
8 Ge 0.500 0.535 0.868
9 Ge 0.500 0.868 0.535


# Er2LuAl3CuGe2

Crystalline Er2LuAl3CuGe2 at its relaxed geometry (PBE-GGA, OQMD via LeMat-Bulk).

- SG: No. 38
- E_tot: -4.851 eV/atom

Unit cell a=4.138 b=6.935 c=6.935 alpha=119.92 beta=90.00 gamma=90.00
Fractional positions:
1 Er 0.000 0.202 0.798
2 Er 0.000 0.798 0.202
3 Lu 0.000 0.605 0.605
4 Al 0.500 0.203 0.436
5 Al 0.500 0.436 0.203
6 Al 0.500 0.969 0.969
7 Cu 0.000 0.205 0.205
8 Ge 0.500 0.536 0.867
9 Ge 0.500 0.867 0.536


> E_tot of number 2 (Er3Al3Cu2Ge)?

-4.534 eV/atom


What did the third record say?
# Ho2ErAl3CuGe2

Crystalline Ho2ErAl3CuGe2 at its relaxed geometry (PBE-GGA, OQMD via LeMat-Bulk).

- SG: No. 38
- E_tot: -4.871 eV/atom

Unit cell a=4.151 b=6.982 c=6.982 alpha=119.99 beta=90.00 gamma=90.00
Fractional positions:
1 Ho 0.000 0.202 0.798
2 Ho 0.000 0.798 0.202
3 Er 0.000 0.604 0.604
4 Al 0.500 0.202 0.434
5 Al 0.500 0.434 0.202
6 Al 0.500 0.969 0.969
7 Cu 0.000 0.202 0.202
8 Ge 0.500 0.535 0.868
9 Ge 0.500 0.868 0.535


> Which of these has the lowest E_tot?

Ho2ErAl3CuGe2


Please write out number 1 again, unchanged.
# Gd2ErAl3Cu2Pd

Crystalline Gd2ErAl3Cu2Pd at its relaxed geometry (PBE-GGA, OQMD via LeMat-Bulk).

- SG: No. 38
- E_tot: -4.765 eV/atom

Unit cell a=4.094 b=7.056 c=7.056 alpha=120.26 beta=90.00 gamma=90.00
Fractional positions:
1 Gd 0.000 0.209 0.791
2 Gd 0.000 0.791 0.209
3 Er 0.000 0.628 0.628
4 Al 0.500 0.212 0.449
5 Al 0.500 0.449 0.212
6 Al 0.500 0.972 0.972
7 Cu 0.500 0.545 0.873
8 Cu 0.500 0.873 0.545
9 Pd 0.000 0.214 0.214